[1]
Here is a relaxed structure of CeEr5N6 from Alexandria. Energies are from PBE.

Calculated values
Fermi-level density of states in states/eV/atom: 0.2125
Uncorrected energy in eV/atom: -8.29
Total moment in μB/f.u.: 0.000

Lattice parameters (Å, degrees): 5.973 10.345 5.972 90.00 109.43 90.00
Space group C2/m (No. 12)
Unique sites:
1 Ce 0.000 0.000 0.000 x2
2 Er 0.000 0.168 0.500 x4
3 Er 0.000 0.334 0.000 x4
4 Er 0.000 0.500 0.500 x2
5 N 0.250 0.000 0.751 x4
6 N 0.250 0.167 0.251 x8

[2]
Here is a relaxed structure of Ac2Ni3AgSn4 from Alexandria. Energies are from PBE.

Calculated values
Fermi-level density of states in states/eV/atom: 0.6209
Uncorrected energy in eV/atom: -4.94
Energy of formation in kcal/mol of atoms: -11.5
Total moment in μB/f.u.: 0.000

Lattice parameters (Å, degrees): 4.631 4.631 10.576 90.00 90.00 90.00
Space group P-4m2 (No. 115)
Unique sites:
1 Ac 0.000 0.500 0.247 x2
2 Ni 0.000 0.000 0.000 x1
3 Ni 0.000 0.500 0.619 x2
4 Ag 0.500 0.500 0.000 x1
5 Sn 0.000 0.000 0.500 x1
6 Sn 0.000 0.500 0.862 x2
7 Sn 0.500 0.500 0.500 x1

[3]
Here is a relaxed structure of NaIn2Pd from Alexandria. Energies are from PBE.

Calculated values
Fermi-level density of states in states/eV/atom: 0.2669
Uncorrected energy in eV/atom: -3.28
Energy of formation in kcal/mol of atoms: -6.6
Total moment in μB/f.u.: 0.000

Lattice parameters (Å, degrees): 4.6507 4.6507 15.2746 90.00 90.00 120.00
Space group R3m (No. 160, hexagonal axes)
Unique sites:
1 Na 0.0000 0.0000 0.0000 x3
2 In 0.0000 0.0000 0.5616 x3
3 In 0.0000 0.0000 0.7852 x3
4 Pd 0.0000 0.0000 0.1885 x3